(1)
This record from the Alexandria database describes an optimized crystal structure of Cd5I12Br3. The functional is PBE-GGA.

Unit cell a=16.4658 b=16.4658 c=16.4658 alpha=109.47 beta=109.47 gamma=109.47
Closest atoms and distances in Å follow each position.
Fractional positions:
Br: 0.7500 0.3750 0.1250  8 I 3.53-3.92
Br: 0.8750 0.7500 0.1250  8 I 3.53-3.92
Br: 0.3750 0.7500 0.6250  8 I 3.53-3.92
Br: 0.2500 0.1250 0.3750  8 I 3.53-3.92
Br: 0.8750 0.1250 0.2500  8 I 3.53-3.92
Br: 0.3750 0.6250 0.2500  8 I 3.53-3.92
Br: 0.6250 0.3750 0.7500  8 I 3.53-3.92
Br: 0.1250 0.8750 0.7500  8 I 3.53-3.92
Br: 0.7500 0.8750 0.6250  8 I 3.53-3.92
Br: 0.6250 0.2500 0.3750  8 I 3.53-3.92
Br: 0.1250 0.2500 0.8750  8 I 3.53-3.92
Br: 0.2500 0.6250 0.8750  8 I 3.53-3.92
Cd: 0.1250 0.3750 0.2500  4 I 2.84
Cd: 0.0000 0.5000 0.0000  6 I 3.03
Cd: 0.0000 0.0000 0.0000  6 I 3.03
Cd: 0.3750 0.2500 0.1250  4 I 2.84
Cd: 0.5000 0.0000 0.5000  6 I 3.03
Cd: 0.5000 0.5000 0.0000  6 I 3.03
Cd: 0.1250 0.7500 0.3750  4 I 2.84
Cd: 0.7500 0.1250 0.8750  4 I 2.84
Cd: 0.7500 0.6250 0.3750  4 I 2.84
Cd: 0.3750 0.1250 0.7500  4 I 2.84
Cd: 0.6250 0.8750 0.2500  4 I 2.84
Cd: 0.5000 0.5000 0.5000  6 I 3.03
Cd: 0.5000 0.0000 0.0000  6 I 3.03
Cd: 0.0000 0.0000 0.5000  6 I 3.03
Cd: 0.2500 0.3750 0.6250  4 I 2.84
Cd: 0.2500 0.8750 0.1250  4 I 2.84
Cd: 0.0000 0.5000 0.5000  6 I 3.03
Cd: 0.8750 0.2500 0.6250  4 I 2.84
Cd: 0.6250 0.7500 0.8750  4 I 2.84
Cd: 0.8750 0.6250 0.7500  4 I 2.84
I: 0.6975 0.1262 0.0228  2 Cd 2.84-3.03
I: 0.3253 0.5228 0.3966  2 Cd 2.84-3.03
I: 0.9772 0.3738 0.3025  2 Cd 2.84-3.03
I: 0.5228 0.1975 0.1262  2 Cd 2.84-3.03
I: 0.5713 0.6975 0.6747  2 Cd 2.84-3.03
I: 0.9772 0.6034 0.1747  2 Cd 2.84-3.03
I: 0.3253 0.8025 0.4287  2 Cd 2.84-3.03
I: 0.1034 0.9287 0.1262  2 Cd 2.84-3.03
I: 0.6034 0.9772 0.6747  2 Cd 2.84-3.03
I: 0.6975 0.5713 0.1747  2 Cd 2.84-3.03
I: 0.8025 0.4772 0.3738  2 Cd 2.84-3.03
I: 0.8253 0.8966 0.0228  2 Cd 2.84-3.03
I: 0.1262 0.6975 0.5228  2 Cd 2.84-3.03
I: 0.3738 0.3966 0.0713  2 Cd 2.84-3.03
I: 0.0713 0.8966 0.3738  2 Cd 2.84-3.03
I: 0.4287 0.1262 0.6034  2 Cd 2.84-3.03
I: 0.0713 0.1747 0.1975  2 Cd 2.84-3.03
I: 0.4772 0.6747 0.1034  2 Cd 2.84-3.03
I: 0.8253 0.9287 0.3025  2 Cd 2.84-3.03
I: 0.1262 0.4287 0.1034  2 Cd 2.84-3.03
I: 0.3738 0.9772 0.8025  2 Cd 2.84-3.03
I: 0.6034 0.6262 0.4287  2 Cd 2.84-3.03
I: 0.8966 0.8253 0.5228  2 Cd 2.84-3.03
I: 0.8025 0.3253 0.9287  2 Cd 2.84-3.03
I: 0.3966 0.3738 0.5713  2 Cd 2.84-3.03
I: 0.1034 0.1747 0.4772  2 Cd 2.84-3.03
I: 0.1975 0.6747 0.0713  2 Cd 2.84-3.03
I: 0.1747 0.0713 0.6975  2 Cd 2.84-3.03
I: 0.6262 0.0228 0.1975  2 Cd 2.84-3.03
I: 0.8738 0.5713 0.8966  2 Cd 2.84-3.03
I: 0.5228 0.3253 0.8966  2 Cd 2.84-3.03
I: 0.5713 0.8738 0.3966  2 Cd 2.84-3.03
I: 0.9287 0.8253 0.8025  2 Cd 2.84-3.03
I: 0.9287 0.1034 0.6262  2 Cd 2.84-3.03
I: 0.8738 0.3025 0.4772  2 Cd 2.84-3.03
I: 0.1747 0.1034 0.9772  2 Cd 2.84-3.03
I: 0.6262 0.6034 0.9287  2 Cd 2.84-3.03
I: 0.3966 0.0228 0.3253  2 Cd 2.84-3.03
I: 0.3025 0.4287 0.8253  2 Cd 2.84-3.03
I: 0.1975 0.5228 0.6262  2 Cd 2.84-3.03
I: 0.8966 0.0713 0.8738  2 Cd 2.84-3.03
I: 0.6747 0.1975 0.5713  2 Cd 2.84-3.03
I: 0.4772 0.8025 0.8738  2 Cd 2.84-3.03
I: 0.0228 0.3966 0.8253  2 Cd 2.84-3.03
I: 0.4287 0.3025 0.3253  2 Cd 2.84-3.03
I: 0.0228 0.6262 0.6975  2 Cd 2.84-3.03
I: 0.6747 0.4772 0.6034  2 Cd 2.84-3.03
I: 0.3025 0.8738 0.9772  2 Cd 2.84-3.03

Properties
Its energy relative to the elements, uncorrected is -3.93 eV per formula unit. As for the symmetry: No. 230.

---

(2)
This record from the Alexandria database describes an optimized crystal structure of Cd4Hg7Bi. The functional is PBE-GGA.

Unit cell a=3.4693 b=7.9819 c=15.3697 alpha=129.76 beta=90.00 gamma=102.55
Closest atoms and distances in Å follow each position.
Fractional positions:
Cd: 0.5818 0.1636 0.7528  5 Hg 2.95-3.29, 2 Bi 3.26
Cd: 0.3597 0.7194 0.2019  8 Hg 3.03-3.19
Cd: 0.0350 0.0700 0.0381  8 Hg 3.07-3.22
Cd: 0.1953 0.3906 0.5149  4 Hg 2.96-3.04, 2 Bi 3.16
Hg: 0.7337 0.4673 0.2592  4 Cd 3.15-3.22, 1 Bi 3.20, 4 Hg 3.23-3.47
Hg: 0.2215 0.4430 0.7239  3 Cd 2.96-3.03, 3 Hg 3.09-3.17
Hg: 0.3408 0.6816 0.9825  3 Cd 3.08-3.19, 3 Hg 3.09-3.26
Hg: 0.6689 0.3378 0.9908  5 Cd 2.95-3.14, 2 Hg 3.26
Hg: 0.9244 0.8489 0.7840  3 Cd 3.07-3.29, 4 Hg 3.17-3.43, 1 Bi 3.43
Hg: 0.0594 0.1188 0.2604  4 Cd 2.99-3.18, 2 Hg 3.23
Hg: 0.5051 0.0101 0.4608  3 Cd 3.03-3.04, 2 Bi 3.35
Bi: 0.8744 0.7488 0.5309  4 Cd 3.16-3.26, 4 Hg 3.20-3.43, 2 Bi 3.47

Properties
The formation energy is 0.0324 eV/atom. As for the symmetry: No. 8.

---

(3)
This record from the Alexandria database describes an optimized crystal structure of LaDyO3. The functional is PBE-GGA.

Unit cell a=5.8016 b=5.8016 c=6.5457 alpha=63.69 beta=63.69 gamma=60.00
Closest atoms and distances in Å follow each position.
Fractional positions:
La: 0.1406 0.1406 0.5782  6 O 2.38-2.53
La: 0.8594 0.8594 0.4218  6 O 2.38-2.53
Dy: 0.3496 0.3496 0.9511  6 O 2.26-2.36
Dy: 0.6504 0.6504 0.0489  6 O 2.26-2.36
O: 0.2755 0.9492 0.2441  2 Dy 2.26-2.36, 2 La 2.38-2.53
O: 0.9492 0.5312 0.2441  2 Dy 2.26-2.36, 2 La 2.38-2.53
O: 0.5312 0.2755 0.2441  2 Dy 2.26-2.36, 2 La 2.38-2.53
O: 0.7245 0.4688 0.7559  2 Dy 2.26-2.36, 2 La 2.38-2.53
O: 0.0508 0.7245 0.7559  2 Dy 2.26-2.36, 2 La 2.38-2.53
O: 0.4688 0.0508 0.7559  2 Dy 2.26-2.36, 2 La 2.38-2.53

Properties
Its energy relative to the elements, uncorrected is -16.73 eV per formula unit. As for the symmetry: No. 155.

---

(4)
This record from the Alexandria database describes an optimized crystal structure of InGaSn3. The functional is PBE-GGA.

Unit cell a=5.3959 b=7.6620 c=6.5226 alpha=90.00 beta=90.00 gamma=104.81
Closest atoms and distances in Å follow each position.
Fractional positions:
In: 0.5128 0.5245 0.7500  1 Ga 2.93, 1 Sn 3.14
In: 0.4872 0.4755 0.2500  1 Ga 2.93, 1 Sn 3.14
Ga: 0.7326 0.9158 0.7500  1 In 2.93, 8 Sn 2.98-3.27
Ga: 0.2674 0.0842 0.2500  1 In 2.93, 8 Sn 2.98-3.27
Sn: 0.0944 0.7166 0.5003  2 Ga 3.18-3.21, 6 Sn 3.21-3.55, 3 In 3.41-3.55
Sn: 0.9056 0.2834 0.4997  2 Ga 3.18-3.21, 6 Sn 3.21-3.55, 3 In 3.41-3.55
Sn: 0.0944 0.7166 0.9997  2 Ga 3.18-3.21, 6 Sn 3.21-3.55, 3 In 3.41-3.55
Sn: 0.9056 0.2834 0.0003  2 Ga 3.18-3.21, 6 Sn 3.21-3.55, 3 In 3.41-3.55
Sn: 0.3110 0.1023 0.7500  4 Ga 2.98-3.27, 1 In 3.14, 4 Sn 3.31
Sn: 0.6890 0.8977 0.2500  4 Ga 2.98-3.27, 1 In 3.14, 4 Sn 3.31

Properties
The formation energy is 0.0648 eV/atom. As for the symmetry: No. 11. As for the energy above the most stable polymorph in this dataset: 22 meV per atom.

---

The V results, record by record, are as follows: 3436.6 313.8 163.9 260.7 Å³/cell.
The DFT total energy results, record by record, are as follows: -32.130 -9.265 -41.136 -17.450 eV/f.u..